[1]
The following is a DFT calculation (GGA-PBE) of Tl4GaSn after structural relaxation.

## Properties
Symmetry = No. 15

Cell lengths 6.6031, 6.5944, 9.7645 Å; angles 70.27, 80.42, 60.47 degrees
Atoms (fractional coordinates):
Ga: 0.2500 0.1253 0.7494
Ga: 0.7500 0.8747 0.2506
Tl: 0.2601 0.2101 0.0686
Tl: 0.7399 0.7899 0.9314
Tl: 0.7601 0.2787 0.9314
Tl: 0.2399 0.7213 0.0686
Tl: 0.2424 0.5368 0.4323
Tl: 0.7424 0.9691 0.5677
Tl: 0.2576 0.0309 0.4323
Tl: 0.7576 0.4632 0.5677
Sn: 0.2500 0.6245 0.7510
Sn: 0.7500 0.3755 0.2490

***

[2]
The following is a DFT calculation (GGA-PBE) of Tl3Ga4Sn4 after structural relaxation.

## Properties
Symmetry = No. 71

Cell lengths 5.1063, 3.3780, 16.8539 Å; angles 95.75, 98.71, 90.00 degrees
Atoms (fractional coordinates):
Tl: 0.3597 0.8597 0.7195
Tl: 0.6403 0.1403 0.2805
Tl: 0.0000 0.0000 0.0000
Ga: 0.7346 0.7346 0.4693
Ga: 0.0953 0.5953 0.1906
Ga: 0.2654 0.2654 0.5307
Ga: 0.9047 0.4047 0.8094
Sn: 0.8095 0.3095 0.6190
Sn: 0.4505 0.4505 0.9009
Sn: 0.1905 0.6905 0.3810
Sn: 0.5495 0.5495 0.0991

***

[3]
The following is a DFT calculation (GGA-PBE) of TlGaSn after structural relaxation.

## Properties
ΔE to the lowest computed polymorph = 0.007 eV/f.u.
Symmetry = No. 11

Cell lengths 3.4362, 5.1172, 10.3908 Å; angles 119.49, 90.03, 90.02 degrees
Atoms (fractional coordinates):
Tl: 0.7502 0.6411 0.3907
Tl: 0.2498 0.3589 0.6093
Sn: 0.2503 0.9699 0.2194
Sn: 0.7497 0.0301 0.7806
Ga: 0.2501 0.3031 0.0526
Ga: 0.7499 0.6969 0.9474

***

Number 1: formation enthalpy at 0 K 1.9 kcal/mol of atoms, Fermi-level density of states 6.3 states/eV per cell. Number 2: formation enthalpy at 0 K 1.5 kcal/mol of atoms, Fermi-level density of states 5.6 states/eV per cell. Number 3: formation enthalpy at 0 K 0.3 kcal/mol of atoms, Fermi-level density of states 2.2 states/eV per cell.